Record 1
# PrUTl2O6 | Alexandria via LeMat-Bulk | GGA-PBE | optimized geometry
data_PrUTl2O6
_cell_length_a 6.233
_cell_length_b 6.286
_cell_length_c 6.257
_cell_angle_alpha 120.16
_cell_angle_beta 120.37
_cell_angle_gamma 90.00
_symmetry_space_group_name_H-M 'P 1'
_symmetry_Int_Tables_number 1
loop_
_symmetry_equiv_pos_as_xyz
'x,y,z'
loop_
_atom_site_label
_atom_site_fract_x
_atom_site_fract_y
_atom_site_fract_z
_atom_site_occupancy
Pr1 0.000 0.500 0.000 1
U1 0.500 0.000 0.000 1
Tl1 0.236 0.250 0.500 1
Tl2 0.764 0.750 0.500 1
O1 0.346 0.769 0.538 1
O2 0.224 0.190 0.912 1
O3 0.776 0.278 0.088 1
O4 0.224 0.722 0.912 1
O5 0.776 0.810 0.088 1
O6 0.654 0.231 0.462 1
# SG: C2/m
# Formation energy (no corrections), eV/atom: -2.2646
# Spin magnetization, μB per formula unit: 0.0
# DOS at the Fermi energy, states/eV/atom: 0.47

---

Record 2
# Tb6SmY4 | Alexandria via LeMat-Bulk | GGA-PBE | optimized geometry
data_Tb6SmY4
_cell_length_a 9.782
_cell_length_b 9.782
_cell_length_c 9.782
_cell_angle_alpha 56.62
_cell_angle_beta 140.81
_cell_angle_gamma 140.81
_symmetry_space_group_name_H-M 'P 1'
_symmetry_Int_Tables_number 1
loop_
_symmetry_equiv_pos_as_xyz
'x,y,z'
loop_
_atom_site_label
_atom_site_fract_x
_atom_site_fract_y
_atom_site_fract_z
_atom_site_occupancy
Tb1 0.000 0.809 0.452 1
Tb2 0.000 0.452 0.809 1
Tb3 0.357 0.548 0.548 1
Tb4 0.500 0.500 0.000 1
Tb5 0.643 0.191 0.191 1
Tb6 0.500 0.000 0.500 1
Sm1 0.000 0.000 0.000 1
Y1 0.000 0.638 0.012 1
Y2 0.374 0.362 0.362 1
Y3 0.000 0.012 0.638 1
Y4 0.626 0.988 0.988 1
# E_tot, eV/f.u.: -55.0
# SG: I-42m
# Spin magnetization, μB per formula unit: 0.0
# DOS at the Fermi energy, states/eV/atom: 1.53

---

Record 3
# TlRuPt2 | Alexandria via LeMat-Bulk | GGA-PBE | optimized geometry
data_TlRuPt2
_cell_length_a 4.818
_cell_length_b 4.818
_cell_length_c 5.136
_cell_angle_alpha 79.82
_cell_angle_beta 79.82
_cell_angle_gamma 35.52
_symmetry_space_group_name_H-M 'P 1'
_symmetry_Int_Tables_number 1
loop_
_symmetry_equiv_pos_as_xyz
'x,y,z'
loop_
_atom_site_label
_atom_site_fract_x
_atom_site_fract_y
_atom_site_fract_z
_atom_site_occupancy
Pt1 0.999 0.999 0.016 1
Pt2 0.246 0.246 0.265 1
Ru1 0.502 0.502 0.465 1
Tl1 0.753 0.753 0.753 1
# SG: Cm
# Relative energy among the computed polymorphs, meV/atom: 6
# Spin magnetization, μB per formula unit: 0.0
# DOS at the Fermi energy, states/eV/atom: 1.10

---

Record 4
# TaNb2InBi | Alexandria via LeMat-Bulk | GGA-PBE | optimized geometry
data_TaNb2InBi
_cell_length_a 5.065
_cell_length_b 5.321
_cell_length_c 5.065
_cell_angle_alpha 90.00
_cell_angle_beta 90.00
_cell_angle_gamma 90.00
_symmetry_space_group_name_H-M 'P 1'
_symmetry_Int_Tables_number 1
loop_
_symmetry_equiv_pos_as_xyz
'x,y,z'
loop_
_atom_site_label
_atom_site_fract_x
_atom_site_fract_y
_atom_site_fract_z
_atom_site_occupancy
Nb1 0.000 0.000 0.500 1
Nb2 0.500 0.000 0.000 1
In1 0.000 0.000 0.000 1
Bi1 0.000 0.500 0.000 1
Ta1 0.500 0.500 0.500 1
# E_tot, eV/f.u.: -28.2
# SG: P4/mmm
# Spin magnetization, μB per formula unit: 0.0
# DOS at the Fermi energy, states/eV/atom: 1.25

---

Record 5
# ScTe2F | Alexandria via LeMat-Bulk | GGA-PBE | optimized geometry
data_ScTe2F
_cell_length_a 7.952
_cell_length_b 7.952
_cell_length_c 7.952
_cell_angle_alpha 31.41
_cell_angle_beta 31.41
_cell_angle_gamma 31.41
_symmetry_space_group_name_H-M 'P 1'
_symmetry_Int_Tables_number 1
loop_
_symmetry_equiv_pos_as_xyz
'x,y,z'
loop_
_atom_site_label
_atom_site_fract_x
_atom_site_fract_y
_atom_site_fract_z
_atom_site_occupancy
Sc1 0.500 0.500 0.500 1
Te1 0.900 0.900 0.900 1
Te2 0.100 0.100 0.100 1
F1 0.000 0.000 0.000 1
# SG: R-3m
# Formation energy (no corrections), eV/atom: -1.1114
# Relative energy among the computed polymorphs, meV/atom: 0
# Spin magnetization, μB per formula unit: 0.0
# DOS at the Fermi energy, states/eV/atom: 0.08

---

Record 6
# ZrHgRu2 | Alexandria via LeMat-Bulk | GGA-PBE | optimized geometry
data_ZrHgRu2
_cell_length_a 2.959
_cell_length_b 2.959
_cell_length_c 8.846
_cell_angle_alpha 90.00
_cell_angle_beta 90.00
_cell_angle_gamma 112.83
_symmetry_space_group_name_H-M 'P 1'
_symmetry_Int_Tables_number 1
loop_
_symmetry_equiv_pos_as_xyz
'x,y,z'
loop_
_atom_site_label
_atom_site_fract_x
_atom_site_fract_y
_atom_site_fract_z
_atom_site_occupancy
Hg1 0.500 0.500 0.750 1
Ru1 0.000 0.000 0.016 1
Ru2 0.000 0.000 0.484 1
Zr1 0.500 0.500 0.250 1
# E_tot, eV/f.u.: -26.6
# SG: Cmmm
# Spin magnetization, μB per formula unit: 0.0
# DOS at the Fermi energy, states/eV/atom: 1.17

---

Record 7
# SrTa2Pt | Alexandria via LeMat-Bulk | GGA-PBE | optimized geometry
data_SrTa2Pt
_cell_length_a 5.226
_cell_length_b 2.976
_cell_length_c 5.418
_cell_angle_alpha 81.26
_cell_angle_beta 90.00
_cell_angle_gamma 90.00
_symmetry_space_group_name_H-M 'P 1'
_symmetry_Int_Tables_number 1
loop_
_symmetry_equiv_pos_as_xyz
'x,y,z'
loop_
_atom_site_label
_atom_site_fract_x
_atom_site_fract_y
_atom_site_fract_z
_atom_site_occupancy
Pt1 0.500 0.250 0.250 1
Sr1 0.500 0.750 0.750 1
Ta1 0.000 0.054 0.032 1
Ta2 0.000 0.446 0.468 1
# SG: P2/m
# Relative energy among the computed polymorphs, meV/atom: 361
# Spin magnetization, μB per formula unit: 0.0
# DOS at the Fermi energy, states/eV/atom: 0.94

---

Record 8
# TiCuSbTe2 | Alexandria via LeMat-Bulk | GGA-PBE | optimized geometry
data_TiCuSbTe2
_cell_length_a 5.274
_cell_length_b 5.274
_cell_length_c 5.283
_cell_angle_alpha 90.00
_cell_angle_beta 90.00
_cell_angle_gamma 90.00
_symmetry_space_group_name_H-M 'P 1'
_symmetry_Int_Tables_number 1
loop_
_symmetry_equiv_pos_as_xyz
'x,y,z'
loop_
_atom_site_label
_atom_site_fract_x
_atom_site_fract_y
_atom_site_fract_z
_atom_site_occupancy
Sb1 0.000 0.000 0.500 1
Te1 0.000 0.500 0.000 1
Te2 0.500 0.000 0.000 1
Cu1 0.500 0.500 0.500 1
Ti1 0.000 0.000 0.000 1
# SG: P4/mmm
# Formation energy (no corrections), eV/atom: 0.3847
# Relative energy among the computed polymorphs, meV/atom: 0
# Spin magnetization, μB per formula unit: 0.0
# DOS at the Fermi energy, states/eV/atom: 0.92

---

Record 9
# LiEuCl | Alexandria via LeMat-Bulk | GGA-PBE | optimized geometry
data_LiEuCl
_cell_length_a 6.708
_cell_length_b 3.779
_cell_length_c 3.779
_cell_angle_alpha 120.00
_cell_angle_beta 90.00
_cell_angle_gamma 90.00
_symmetry_space_group_name_H-M 'P 1'
_symmetry_Int_Tables_number 1
loop_
_symmetry_equiv_pos_as_xyz
'x,y,z'
loop_
_atom_site_label
_atom_site_fract_x
_atom_site_fract_y
_atom_site_fract_z
_atom_site_occupancy
Eu1 0.623 0.667 0.333 1
Li1 0.082 0.333 0.667 1
Cl1 0.295 0.000 0.000 1
# SG: P3m1
# Formation energy (no corrections), eV/atom: -1.0083
# Spin magnetization, μB per formula unit: 7.6
# DOS at the Fermi energy, states/eV/atom: 0.76

---

Record 10
# SmCd2As2Pd7 | Alexandria via LeMat-Bulk | GGA-PBE | optimized geometry
data_SmCd2As2Pd7
_cell_length_a 4.015
_cell_length_b 4.015
_cell_length_c 14.862
_cell_angle_alpha 80.10
_cell_angle_beta 80.10
_cell_angle_gamma 89.64
_symmetry_space_group_name_H-M 'P 1'
_symmetry_Int_Tables_number 1
loop_
_symmetry_equiv_pos_as_xyz
'x,y,z'
loop_
_atom_site_label
_atom_site_fract_x
_atom_site_fract_y
_atom_site_fract_z
_atom_site_occupancy
Sm1 0.000 0.000 0.000 1
Cd1 0.712 0.712 0.400 1
Cd2 0.288 0.288 0.600 1
As1 0.664 0.664 0.744 1
As2 0.336 0.336 0.256 1
Pd1 0.500 0.500 0.000 1
Pd2 0.201 0.201 0.424 1
Pd3 0.799 0.799 0.576 1
Pd4 0.902 0.402 0.154 1
Pd5 0.402 0.902 0.154 1
Pd6 0.598 0.098 0.846 1
Pd7 0.098 0.598 0.846 1
# E_tot, eV/f.u.: -57.4
# SG: C2/m
# Spin magnetization, μB per formula unit: 0.0
# DOS at the Fermi energy, states/eV/atom: 0.41

---

Question: Which of these has the highest DOS at the Fermi energy?
Answer: Tb6SmY4